Compound: CaRu2Br
Source: Alexandria
Functional: PBE
Structure: relaxed

a b c (Å): 4.764 4.764 4.764
angles (deg): 60.00 60.00 60.00
Sites, in units of the cell vectors:
Ca  0.000  0.000  0.000
Ru  0.250  0.250  0.250
Ru  0.500  0.500  0.500
Br  0.750  0.750  0.750

Its uncorrected formation energy is 0.612 eV per atom. As for the space group: F-43m. The energy above the lowest structure with this stoichiometry is 661.5 meV/atom.